1.
! SmHo2Er2Sc (PBE, optimized geometry); values from VASP
&SYSTEM
  ibrav = 0, nat = 12, ntyp = 4
/
ATOMIC_SPECIES
Sm 150.36 Sm.upf
Ho 164.93 Ho.upf
Er 167.26 Er.upf
Sc 44.96 Sc.upf
CELL_PARAMETERS angstrom
-2.076 5.090 0.166
-0.383 0.157 -9.576
-6.319 -2.585 0.210
ATOMIC_POSITIONS crystal
Sm 0.500 0.500 0.000
Sm 0.000 0.000 0.500
Ho 0.500 0.833 0.247
Ho 0.500 0.167 0.753
Ho 0.000 0.667 0.747
Ho 0.000 0.333 0.253
Er 0.500 0.167 0.248
Er 0.000 0.667 0.252
Er 0.500 0.833 0.752
Er 0.000 0.333 0.748
Sc 0.000 0.000 0.000
Sc 0.500 0.500 0.500
! magnetization = 0.00 μB/f.u.
! ΔE_f = 0.10 eV per atom

2.
! AlFe3H (PBE, optimized geometry); values from VASP
&SYSTEM
  ibrav = 0, nat = 10, ntyp = 3
/
ATOMIC_SPECIES
H 1.01 H.upf
Fe 55.84 Fe.upf
Al 26.98 Al.upf
CELL_PARAMETERS angstrom
4.532 0.000 0.083
0.000 5.191 0.000
-1.641 0.000 4.226
ATOMIC_POSITIONS crystal
H 0.036 0.250 0.464
H 0.964 0.750 0.536
Fe 0.754 0.000 0.254
Fe 0.246 0.000 0.746
Fe 0.754 0.500 0.254
Fe 0.246 0.500 0.746
Fe 0.272 0.250 0.228
Fe 0.728 0.750 0.772
Al 0.740 0.250 0.760
Al 0.260 0.750 0.240
! magnetization = 6.23 μB/f.u.

3.
! Ac2Zn4Pt3Au (PBE, optimized geometry); values from VASP
&SYSTEM
  ibrav = 0, nat = 10, ntyp = 4
/
ATOMIC_SPECIES
Ac 227.00 Ac.upf
Zn 65.41 Zn.upf
Pt 195.08 Pt.upf
Au 196.97 Au.upf
CELL_PARAMETERS angstrom
4.462 0.000 0.000
0.000 4.462 0.000
0.000 0.000 10.532
ATOMIC_POSITIONS crystal
Ac 0.500 0.000 0.252
Ac 0.000 0.500 0.748
Zn 0.500 0.500 0.000
Zn 0.000 0.000 0.000
Zn 0.500 0.000 0.628
Zn 0.000 0.500 0.372
Pt 0.000 0.000 0.500
Pt 0.500 0.000 0.870
Pt 0.000 0.500 0.130
Au 0.500 0.500 0.500
! magnetization = 0.00 μB/f.u.
! ΔE_f = -0.74 eV per atom

4.
! AlAsP2 (PBE, optimized geometry); values from VASP
&SYSTEM
  ibrav = 0, nat = 4, ntyp = 3
/
ATOMIC_SPECIES
P 30.97 P.upf
As 74.92 As.upf
Al 26.98 Al.upf
CELL_PARAMETERS angstrom
-4.282 0.419 -1.269
-1.917 -3.186 -2.510
-3.137 -2.670 1.776
ATOMIC_POSITIONS crystal
P 0.000 0.000 0.000
P 0.750 0.750 0.750
As 0.250 0.250 0.250
Al 0.500 0.500 0.500
! magnetization = 0.00 μB/f.u.
! ΔE_f = 0.44 eV per atom

5.
! GaCo2HRu (PBE, optimized geometry); values from VASP
&SYSTEM
  ibrav = 0, nat = 5, ntyp = 4
/
ATOMIC_SPECIES
Ru 101.07 Ru.upf
Co 58.93 Co.upf
Ga 69.72 Ga.upf
H 1.01 H.upf
CELL_PARAMETERS angstrom
-2.565 -2.168 -1.526
-0.125 -2.022 3.084
-2.757 2.286 1.387
ATOMIC_POSITIONS crystal
Ru 0.000 0.000 0.500
Co 0.000 0.500 0.000
Co 0.500 0.000 0.000
Ga 0.500 0.500 0.500
H 0.000 0.000 0.000
! magnetization = 3.09 μB/f.u.

6.
! Pm3AgSn (PBE, optimized geometry); values from VASP
&SYSTEM
  ibrav = 0, nat = 20, ntyp = 3
/
ATOMIC_SPECIES
Pm 145.00 Pm.upf
Ag 107.87 Ag.upf
Sn 118.71 Sn.upf
CELL_PARAMETERS angstrom
8.807 -0.301 -0.225
0.264 8.348 -0.817
0.264 1.574 8.239
ATOMIC_POSITIONS crystal
Pm 0.583 0.802 0.010
Pm 0.917 0.990 0.198
Pm 0.417 0.198 0.990
Pm 0.083 0.010 0.802
Pm 0.807 0.423 0.077
Pm 0.693 0.923 0.577
Pm 0.193 0.577 0.923
Pm 0.307 0.077 0.423
Pm 0.583 0.492 0.699
Pm 0.917 0.301 0.508
Pm 0.417 0.508 0.301
Pm 0.083 0.699 0.492
Ag 0.875 0.694 0.811
Ag 0.625 0.189 0.306
Ag 0.125 0.306 0.189
Ag 0.375 0.811 0.694
Sn 0.250 0.850 0.150
Sn 0.750 0.150 0.850
Sn 0.250 0.351 0.649
Sn 0.750 0.649 0.351
! magnetization = 0.00 μB/f.u.
! ΔE_f = -0.32 eV per atom

7.
! Zn2CuW (PBE, optimized geometry); values from VASP
&SYSTEM
  ibrav = 0, nat = 4, ntyp = 3
/
ATOMIC_SPECIES
Cu 63.55 Cu.upf
W 183.84 W.upf
Zn 65.41 Zn.upf
CELL_PARAMETERS angstrom
9.160 0.013 0.007
8.747 2.720 0.007
8.747 1.335 2.370
ATOMIC_POSITIONS crystal
Cu 0.501 0.501 0.501
W 0.752 0.752 0.752
Zn 0.000 0.000 0.000
Zn 0.246 0.246 0.246
! magnetization = 0.00 μB/f.u.
! ΔE_f = 0.21 eV per atom

8.
! YScFe (PBE, optimized geometry); values from VASP
&SYSTEM
  ibrav = 0, nat = 3, ntyp = 3
/
ATOMIC_SPECIES
Fe 55.84 Fe.upf
Sc 44.96 Sc.upf
Y 88.91 Y.upf
CELL_PARAMETERS angstrom
4.535 0.000 0.000
2.268 3.928 0.000
2.268 1.309 3.703
ATOMIC_POSITIONS crystal
Fe 0.750 0.750 0.750
Sc 0.000 0.000 0.000
Y 0.500 0.500 0.500
! magnetization = 0.00 μB/f.u.
! ΔE_f = 0.21 eV per atom

9.
! Ga2TeCl8 (PBE, optimized geometry); values from VASP
&SYSTEM
  ibrav = 0, nat = 11, ntyp = 3
/
ATOMIC_SPECIES
Ga 69.72 Ga.upf
Te 127.60 Te.upf
Cl 35.45 Cl.upf
CELL_PARAMETERS angstrom
-4.496 6.728 -1.083
-0.312 0.711 7.526
5.518 3.936 3.362
ATOMIC_POSITIONS crystal
Ga 0.690 0.809 0.809
Ga 0.310 0.191 0.191
Te 0.000 0.000 0.000
Cl 0.214 0.302 0.867
Cl 0.786 0.133 0.698
Cl 0.427 0.806 0.806
Cl 0.573 0.194 0.194
Cl 0.214 0.867 0.302
Cl 0.786 0.698 0.133
Cl 0.819 0.668 0.668
Cl 0.181 0.332 0.332
! magnetization = 0.00 μB/f.u.
! formation energy (no corrections) = -0.89 eV/atom

It is found that the VASP energy values, taken in the order of the records, are -57.451, -66.208, -42.114, -17.472, -30.054, -90.773, -18.766, -20.630, -33.776 eV per cell.